This record from Alexandria via LeMat-Bulk describes a relaxed AcAl2Pd5Au crystal. The functional is PBE.

Calculated values
Formation energy (eV/atom): -0.479

Cell lengths 4.8309, 4.8309, 7.3775 Å; angles 90.00, 90.00, 90.00 degrees
Element x y z (fractional)
1 Ac 0.0000 0.0000 0.0000
2 Al 0.5000 0.5000 0.3283
3 Al 0.5000 0.5000 0.6717
4 Pd 0.0000 0.5000 0.2920
5 Pd 0.0000 0.5000 0.7080
6 Pd 0.5000 0.0000 0.2920
7 Pd 0.5000 0.0000 0.7080
8 Pd 0.5000 0.5000 0.0000
9 Au 0.0000 0.0000 0.5000


This record from Alexandria via LeMat-Bulk describes a relaxed BeNbTe3 crystal. The functional is PBE.

Cell lengths 5.4182, 5.4182, 5.4182 Å; angles 90.00, 90.00, 90.00 degrees
Element x y z (fractional)
1 Be 0.0000 0.0000 0.0000
2 Nb 0.5000 0.5000 0.5000
3 Te 0.0000 0.5000 0.5000
4 Te 0.5000 0.0000 0.5000
5 Te 0.5000 0.5000 0.0000


This record from Alexandria via LeMat-Bulk describes a relaxed HoMgAl4 crystal. The functional is PBE.

Calculated values
Formation energy (eV/atom): -0.258

Cell lengths 4.5778, 4.5778, 6.4723 Å; angles 90.00, 90.00, 120.00 degrees
Element x y z (fractional)
1 Ho 0.0000 0.0000 0.0000
2 Mg 0.0000 0.0000 0.5000
3 Al 0.3333 0.6667 0.2716
4 Al 0.3333 0.6667 0.7284
5 Al 0.6667 0.3333 0.2716
6 Al 0.6667 0.3333 0.7284


This record from Alexandria via LeMat-Bulk describes a relaxed Ca2TeO crystal. The functional is PBE.

Cell lengths 5.0343, 5.0343, 5.0343 Å; angles 60.00, 60.00, 60.00 degrees
Element x y z (fractional)
1 Ca 0.2500 0.2500 0.2500
2 Ca 0.7500 0.7500 0.7500
3 Te 0.0000 0.0000 0.0000
4 O 0.5000 0.5000 0.5000


This record from Alexandria via LeMat-Bulk describes a relaxed RbScSi crystal. The functional is PBE.

Cell lengths 5.4019, 5.4019, 7.5945 Å; angles 113.19, 113.19, 73.29 degrees
Element x y z (fractional)
1 Rb 0.2056 0.2056 0.0180
2 Rb 0.7944 0.7944 0.9820
3 Sc 0.3076 0.3076 0.5527
4 Sc 0.6924 0.6924 0.4473
5 Si 0.1937 0.8063 0.5000
6 Si 0.8063 0.1937 0.5000


This record from Alexandria via LeMat-Bulk describes a relaxed Al2VAg4 crystal. The functional is PBE.

Calculated values
Formation energy (eV/atom): 0.757

Cell lengths 7.4422, 7.4422, 7.4422 Å; angles 140.85, 140.85, 56.56 degrees
Element x y z (fractional)
1 Al 0.1013 0.1013 0.0000
2 Al 0.8987 0.8987 0.0000
3 V 0.5000 0.5000 0.0000
4 Ag 0.0000 0.5000 0.5000
5 Ag 0.2920 0.2920 0.0000
6 Ag 0.5000 0.0000 0.5000
7 Ag 0.7080 0.7080 0.0000


This record from Alexandria via LeMat-Bulk describes a relaxed AgTeBr2 crystal. The functional is PBE.

Cell lengths 6.1629, 6.1629, 7.5970 Å; angles 127.85, 127.85, 33.28 degrees
Element x y z (fractional)
1 Ag 0.0000 0.0000 0.0000
2 Te 0.5000 0.5000 0.5000
3 Br 0.2729 0.2729 0.7728
4 Br 0.7271 0.7271 0.2272


This record from Alexandria via LeMat-Bulk describes a relaxed K2LaPt crystal. The functional is PBE.

Calculated values
Formation energy (eV/atom): 0.050

Cell lengths 7.4558, 7.4126, 4.4175 Å; angles 73.25, 72.18, 34.57 degrees
Element x y z (fractional)
1 K 0.0000 0.5000 0.5000
2 K 0.5000 0.0000 0.0000
3 La 0.0000 0.0000 0.0000
4 Pt 0.5000 0.5000 0.5000


This record from Alexandria via LeMat-Bulk describes a relaxed Zr2IrAu crystal. The functional is PBE.

Calculated values
Formation energy (eV/atom): -0.426

Cell lengths 4.6889, 4.6889, 4.6889 Å; angles 60.00, 60.00, 60.00 degrees
Element x y z (fractional)
1 Zr 0.0000 0.0000 0.0000
2 Zr 0.2500 0.2500 0.2500
3 Ir 0.7500 0.7500 0.7500
4 Au 0.5000 0.5000 0.5000


This record from Alexandria via LeMat-Bulk describes a relaxed Rb3Ce3PrSe8 crystal. The functional is PBE.

Cell lengths 9.5046, 9.5046, 9.5046 Å; angles 54.48, 54.48, 54.48 degrees
Element x y z (fractional)
1 Rb 0.0000 0.5000 0.5000
2 Rb 0.5000 0.0000 0.5000
3 Rb 0.5000 0.5000 0.0000
4 Ce 0.0000 0.0000 0.5000
5 Ce 0.0000 0.5000 0.0000
6 Ce 0.5000 0.0000 0.0000
7 Pr 0.5000 0.5000 0.5000
8 Se 0.2260 0.7345 0.7345
9 Se 0.2324 0.2324 0.2324
10 Se 0.2655 0.2655 0.7740
11 Se 0.2655 0.7740 0.2655
12 Se 0.7345 0.2260 0.7345
13 Se 0.7345 0.7345 0.2260
14 Se 0.7676 0.7676 0.7676
15 Se 0.7740 0.2655 0.2655


This record from Alexandria via LeMat-Bulk describes a relaxed AlZnCd2 crystal. The functional is PBE.

Calculated values
Formation energy (eV/atom): 0.179

Cell lengths 3.5785, 4.6905, 4.8102 Å; angles 90.00, 90.00, 90.00 degrees
Element x y z (fractional)
1 Al 0.0000 0.0000 0.0000
2 Zn 0.5000 0.0000 0.5000
3 Cd 0.0000 0.5000 0.5000
4 Cd 0.5000 0.5000 0.0000


This record from Alexandria via LeMat-Bulk describes a relaxed Rb2Li14Tb3O14 crystal. The functional is PBE.

Cell lengths 8.6213, 8.6213, 8.6213 Å; angles 128.80, 123.23, 79.94 degrees
Element x y z (fractional)
1 Rb 0.0000 0.2356 0.2356
2 Rb 0.0000 0.7644 0.7644
3 Li 0.0843 0.2313 0.8530
4 Li 0.2124 0.1416 0.6193
5 Li 0.2124 0.5931 0.0708
6 Li 0.3441 0.5000 0.8441
7 Li 0.3782 0.2313 0.1470
8 Li 0.4777 0.4069 0.6193
9 Li 0.4777 0.8584 0.0708
10 Li 0.5223 0.1416 0.9292
11 Li 0.5223 0.5931 0.3807
12 Li 0.6218 0.7687 0.8530
13 Li 0.6559 0.5000 0.1559
14 Li 0.7876 0.4069 0.9292
15 Li 0.7876 0.8584 0.3807
16 Li 0.9157 0.7687 0.1470
17 Tb 0.2305 0.7305 0.5000
18 Tb 0.5000 0.0000 0.5000
19 Tb 0.7695 0.2695 0.5000
20 O 0.0916 0.3728 0.7188
21 O 0.1845 0.8691 0.3153
22 O 0.2535 0.0526 0.7992
23 O 0.2535 0.4543 0.2008
24 O 0.3460 0.6272 0.7188
25 O 0.4462 0.1309 0.3153
26 O 0.5000 0.2988 0.7988
27 O 0.5000 0.7012 0.2012
28 O 0.5538 0.8691 0.6847
29 O 0.6540 0.3728 0.2812
30 O 0.7465 0.5457 0.7992
31 O 0.7465 0.9474 0.2008
32 O 0.8155 0.1309 0.6847
33 O 0.9084 0.6272 0.2812


This record from Alexandria via LeMat-Bulk describes a relaxed BeAl2Hg crystal. The functional is PBE.

Calculated values
Formation energy (eV/atom): 0.342

Cell lengths 4.6223, 4.6223, 3.5280 Å; angles 90.00, 90.00, 114.35 degrees
Element x y z (fractional)
1 Be 0.0000 0.0000 0.0000
2 Al 0.0000 0.5000 0.5000
3 Al 0.5000 0.0000 0.5000
4 Hg 0.5000 0.5000 0.0000


This record from Alexandria via LeMat-Bulk describes a relaxed TlIn4Hg15 crystal. The functional is PBE.

Calculated values
Formation energy (eV/atom): -0.001

Cell lengths 5.2100, 5.2100, 19.9344 Å; angles 90.00, 90.00, 90.00 degrees
Element x y z (fractional)
1 Tl 0.0000 0.0000 0.0000
2 In 0.0000 0.0000 0.2054
3 In 0.0000 0.0000 0.4015
4 In 0.0000 0.0000 0.5985
5 In 0.0000 0.0000 0.7946
6 Hg 0.0000 0.5000 0.1054
7 Hg 0.0000 0.5000 0.3032
8 Hg 0.0000 0.5000 0.5000
9 Hg 0.0000 0.5000 0.6968
10 Hg 0.0000 0.5000 0.8946
11 Hg 0.5000 0.0000 0.1054
12 Hg 0.5000 0.0000 0.3032
13 Hg 0.5000 0.0000 0.5000
14 Hg 0.5000 0.0000 0.6968
15 Hg 0.5000 0.0000 0.8946
16 Hg 0.5000 0.5000 0.0000
17 Hg 0.5000 0.5000 0.2043
18 Hg 0.5000 0.5000 0.4017
19 Hg 0.5000 0.5000 0.5983
20 Hg 0.5000 0.5000 0.7957


This record from Alexandria via LeMat-Bulk describes a relaxed SrAgSn2Se4 crystal. The functional is PBE.

Cell lengths 7.2202, 7.2202, 14.8247 Å; angles 90.00, 90.00, 145.62 degrees
Element x y z (fractional)
1 Sr 0.1233 0.8767 0.7500
2 Sr 0.8767 0.1233 0.2500
3 Ag 0.1506 0.8494 0.2500
4 Ag 0.8494 0.1506 0.7500
5 Sn 0.3712 0.6288 0.5603
6 Sn 0.3712 0.6288 0.9397
7 Sn 0.6288 0.3712 0.0603
8 Sn 0.6288 0.3712 0.4397
9 Se 0.0000 0.0000 0.0000
10 Se 0.0000 0.0000 0.5000
11 Se 0.2768 0.7232 0.1135
12 Se 0.2768 0.7232 0.3865
13 Se 0.4594 0.5406 0.7500
14 Se 0.5406 0.4594 0.2500
15 Se 0.7232 0.2768 0.6135
16 Se 0.7232 0.2768 0.8865


This record from Alexandria via LeMat-Bulk describes a relaxed CuAsBrF6 crystal. The functional is PBE.

Cell lengths 5.4922, 5.4922, 7.0196 Å; angles 90.06, 90.06, 120.16 degrees
Element x y z (fractional)
1 Cu 0.0000 0.0000 0.0000
2 As 0.6668 0.3332 0.0000
3 Br 0.3341 0.6659 0.5000
4 F 0.3915 0.0712 0.8542
5 F 0.3911 0.3193 0.1440
6 F 0.6793 0.0712 0.1449
7 F 0.6807 0.6089 0.8560
8 F 0.9288 0.3207 0.8551
9 F 0.9288 0.6085 0.1458


This record from Alexandria via LeMat-Bulk describes a relaxed Hf2Co2Se crystal. The functional is PBE.

Cell lengths 5.6876, 5.6876, 5.6876 Å; angles 134.85, 134.85, 65.76 degrees
Element x y z (fractional)
1 Hf 0.2500 0.7500 0.5000
2 Hf 0.7500 0.2500 0.5000
3 Co 0.1150 0.1150 0.0000
4 Co 0.8850 0.8850 0.0000
5 Se 0.5000 0.5000 0.0000


This record from Alexandria via LeMat-Bulk describes a relaxed Er5InNi crystal. The functional is PBE.

Calculated values
Formation energy (eV/atom): -0.128

Cell lengths 6.4416, 6.4416, 11.1232 Å; angles 106.62, 106.62, 62.72 degrees
Element x y z (fractional)
1 Er 0.0203 0.9797 0.7500
2 Er 0.0343 0.3998 0.6378
3 Er 0.2052 0.5493 0.9550
4 Er 0.3998 0.0343 0.1378
5 Er 0.4507 0.7948 0.5450
6 Er 0.5493 0.2052 0.4550
7 Er 0.6002 0.9657 0.8622
8 Er 0.7948 0.4507 0.0450
9 Er 0.9657 0.6002 0.3622
10 Er 0.9797 0.0203 0.2500
11 In 0.4695 0.5305 0.2500
12 In 0.5305 0.4695 0.7500
13 Ni 0.0000 0.0000 0.0000
14 Ni 0.0000 0.0000 0.5000


This record from Alexandria via LeMat-Bulk describes a relaxed Rb4NaAg3F12 crystal. The functional is PBE.

Cell lengths 7.6505, 7.6505, 7.6505 Å; angles 109.47, 109.47, 109.47 degrees
Element x y z (fractional)
1 Rb 0.0000 0.0000 0.5000
2 Rb 0.0000 0.5000 0.0000
3 Rb 0.5000 0.0000 0.0000
4 Rb 0.5000 0.5000 0.5000
5 Na 0.0000 0.0000 0.0000
6 Ag 0.0000 0.5000 0.5000
7 Ag 0.5000 0.0000 0.5000
8 Ag 0.5000 0.5000 0.0000
9 F 0.0000 0.2611 0.2611
10 F 0.0000 0.7389 0.7389
11 F 0.2500 0.5000 0.7500
12 F 0.2500 0.7500 0.5000
13 F 0.2611 0.0000 0.2611
14 F 0.2611 0.2611 0.0000
15 F 0.5000 0.2500 0.7500
16 F 0.5000 0.7500 0.2500
17 F 0.7389 0.0000 0.7389
18 F 0.7389 0.7389 0.0000
19 F 0.7500 0.2500 0.5000
20 F 0.7500 0.5000 0.2500


This record from Alexandria via LeMat-Bulk describes a relaxed UBeFeSi2 crystal. The functional is PBE.

Cell lengths 5.4984, 5.4984, 5.4984 Å; angles 138.56, 138.56, 60.05 degrees
Element x y z (fractional)
1 U 0.0000 0.0000 0.0000
2 Be 0.7500 0.2500 0.5000
3 Fe 0.2500 0.7500 0.5000
4 Si 0.3753 0.3753 0.0000
5 Si 0.6247 0.6247 0.0000


The calculation returns the following electronic total energy values, one per record and in order: -45.15, -19.88, -22.69, -17.71, -25.67, -22.71, -9.01, -12.96, -30.94, -78.89, -6.13, -179.22, -10.14, -17.86, -64.11, -34.76, -37.76, -64.46, -76.48, -36.15 eV for the cell shown.